A plane-wave DFT calculation with PBE was carried out for an optimized crystal structure of Rb2Hg2Pb15.

Structure (CIF):
```
data_Rb2Hg2Pb15
_cell_length_a 11.4895
_cell_length_b 11.4895
_cell_length_c 17.2125
_cell_angle_alpha 90.00
_cell_angle_beta 90.00
_cell_angle_gamma 120.00
_symmetry_space_group_name_H-M 'R -3 m'
_symmetry_Int_Tables_number 166
_symmetry_space_group_name_Hall '-R 3 2"'
loop_
_atom_site_label
_atom_site_fract_x
_atom_site_fract_y
_atom_site_fract_z
_atom_site_occupancy
Rb1 0.0000 0.0000 0.1675 1
Hg1 0.0000 0.0000 0.4088 1
Pb1 0.0000 0.3004 0.5000 1
Pb2 0.0000 0.5000 0.0000 1
Pb3 0.0029 0.5015 0.6542 1
```

Properties
**Formation enthalpy at 0 K**: -0.013 eV/atom



A plane-wave DFT calculation with PBE was carried out for an optimized crystal structure of RbHg17Pb.

Structure (CIF):
```
data_RbHg17Pb
_cell_length_a 10.1523
_cell_length_b 10.1523
_cell_length_c 18.5540
_cell_angle_alpha 90.00
_cell_angle_beta 90.00
_cell_angle_gamma 120.00
_symmetry_space_group_name_H-M 'R 3 m'
_symmetry_Int_Tables_number 160
_symmetry_space_group_name_Hall 'R 3 -2"'
loop_
_atom_site_label
_atom_site_fract_x
_atom_site_fract_y
_atom_site_fract_z
_atom_site_occupancy
Rb1 0.0000 0.0000 0.0000 1
Hg1 0.0000 0.0000 0.2984 1
Hg2 0.0000 0.0000 0.4667 1
Hg3 0.0027 0.3085 0.3629 1
Hg4 0.0501 0.5250 0.2297 1
Hg5 0.0877 0.5438 0.8441 1
Hg6 0.0933 0.5467 0.4993 1
Pb1 0.0000 0.0000 0.6890 1
```

Properties
**Formation enthalpy at 0 K**: -0.033 eV/atom



| no. | N(E_F) (states/eV/cell) | mass density (g/cm3) | total energy (eV per cell) |
| --- | --- | --- | --- |
| 1 | 30.2 | 9.317 | -175.24 |
| 2 | 18.8 | 11.138 | -31.31 |